(1)
Density functional theory data (PBE) for MnRhW2 after structural relaxation.

Cell lengths 4.780, 4.780, 4.780 Å; angles 132.55, 132.51, 69.40 degrees
Each line ends with the local moment (μB).
Positions (direct):
Mn1 0.500 0.500 0.000  1.38
W1 0.750 0.250 0.500  -0.16
W2 0.000 0.000 0.000  -0.15
Rh1 0.250 0.750 0.500  -0.13

Output
energy above the most stable polymorph in this dataset: 0.090 eV per atom
DFT total energy: -10.481 eV/atom
energy of formation from the pure elements: 0.1263 eV/atom

=====

(2)
Density functional theory data (PBE) for MnRh4W after structural relaxation.

Cell lengths 3.759, 4.775, 6.116 Å; angles 106.28, 72.10, 66.82 degrees
Each line ends with the local moment (μB).
Positions (direct):
Rh1 0.830 0.511 0.829  -0.13
Rh2 0.335 0.001 0.330  -0.14
Rh3 0.170 0.489 0.171  -0.13
Rh4 0.665 0.999 0.670  -0.14
W1 0.500 0.500 0.500  -0.19
Mn1 0.000 0.000 0.000  2.72

Output
energy above the most stable polymorph in this dataset: 0.000 eV per atom
DFT total energy: -8.727 eV/atom
energy of formation from the pure elements: -0.1387 eV/atom

=====

(3)
Density functional theory data (PBE) for MnRhW2 after structural relaxation.

Cell lengths 3.209, 3.209, 5.658 Å; angles 90.00, 90.00, 90.00 degrees
Each line ends with the local moment (μB).
Positions (direct):
Rh1 0.500 0.500 0.750  -0.10
Mn1 0.500 0.500 0.250  1.03
W1 0.000 0.000 0.019  -0.09
W2 0.000 0.000 0.481  -0.09

Output
energy above the most stable polymorph in this dataset: 0.165 eV per atom
DFT total energy: -10.405 eV/atom
energy of formation from the pure elements: 0.2017 eV/atom

=====

(4)
Density functional theory data (PBE) for MnRh4W after structural relaxation.

Cell lengths 5.241, 5.240, 7.782 Å; angles 100.60, 100.60, 116.97 degrees
Each line ends with the local moment (μB).
Positions (direct):
Rh1 0.534 0.282 0.059  -0.06
Rh2 0.717 0.466 0.441  -0.06
Rh3 0.466 0.718 0.941  -0.06
Rh4 0.975 0.224 0.941  -0.06
Rh5 0.224 0.975 0.441  -0.06
Rh6 0.025 0.776 0.059  -0.06
Rh7 0.283 0.534 0.559  -0.06
Rh8 0.776 0.025 0.559  -0.06
W1 0.875 0.125 0.250  -0.22
W2 0.125 0.875 0.750  -0.22
Mn1 0.375 0.625 0.250  2.78
Mn2 0.625 0.375 0.750  2.78

Output
energy above the most stable polymorph in this dataset: 0.179 eV per atom
DFT total energy: -8.548 eV/atom
energy of formation from the pure elements: 0.0402 eV/atom

=====

(5)
Density functional theory data (PBE) for MnRhW2 after structural relaxation.

Cell lengths 4.393, 4.393, 4.393 Å; angles 60.00, 60.00, 60.00 degrees
Each line ends with the local moment (μB).
Positions (direct):
Mn1 0.500 0.500 0.500  2.99
W1 0.250 0.250 0.250  -0.24
W2 0.000 0.000 0.000  0.23
Rh1 0.750 0.750 0.750  0.33

Output
energy above the most stable polymorph in this dataset: 0.075 eV per atom
DFT total energy: -10.495 eV/atom
energy of formation from the pure elements: 0.1116 eV/atom

=====

(6)
Density functional theory data (PBE) for Mn2Rh8W after structural relaxation.

Cell lengths 4.035, 6.360, 6.360 Å; angles 103.18, 89.99, 89.99 degrees
Each line ends with the local moment (μB).
Positions (direct):
Rh1 0.000 0.035 0.304  -0.09
Rh2 0.000 0.304 0.035  -0.09
Rh3 0.500 0.331 0.331  0.01
Rh4 0.000 0.965 0.696  -0.09
Rh5 0.500 0.669 0.669  0.01
Rh6 0.500 0.261 0.739  -0.03
Rh7 0.000 0.696 0.965  -0.09
Rh8 0.500 0.739 0.261  -0.03
Mn1 0.000 0.614 0.386  1.46
Mn2 0.000 0.386 0.614  1.46
W1 0.500 0.000 0.000  -0.07

Output
DFT total energy: -8.122 eV/atom
energy of formation from the pure elements: 0.0688 eV/atom

=====

Which of these has the lowest DFT total energy?
number 5